Entry 1:
A geometry-optimized BaCaLa2Rh structure, computed with PBE-GGA.

Computed properties:
The total magnetization is 0.000 μB/f.u. As for the density of states at the Fermi level: 5.3 states/eV/f.u. The formation energy from the elements comes out at -1.4 eV/f.u. For the energy above the most stable polymorph in this dataset, the calculation gives 0 meV per atom.

Lattice parameters (Å, degrees): 5.657 5.657 6.045 90.00 90.00 90.00
Space group P4/mmm (No. 123)
Unique sites:
Ba 0.000 0.000 0.000 (multiplicity 1)
Ca 0.500 0.500 0.000 (multiplicity 1)
La 0.000 0.500 0.500 (multiplicity 2)
Rh 0.500 0.500 0.500 (multiplicity 1)

=====

Entry 2:
A geometry-optimized Cd2ReBAs structure, computed with PBE-GGA.

Computed properties:
The total magnetization is 0.758 μB/f.u. As for the density of states at the Fermi level: 4.3 states/eV/f.u. The formation energy from the elements comes out at 6.1 eV/f.u.

Lattice parameters (Å, degrees): 5.314 5.314 3.994 90.00 90.00 90.00
Space group P4/mmm (No. 123)
Unique sites:
Cd 0.000 0.500 0.000 (multiplicity 2)
Re 0.000 0.000 0.000 (multiplicity 1)
B 0.000 0.000 0.500 (multiplicity 1)
As 0.500 0.500 0.500 (multiplicity 1)

=====

Entry 3:
A geometry-optimized HfNb2Al structure, computed with PBE-GGA.

Computed properties:
The total magnetization is 0.000 μB/f.u. As for the density of states at the Fermi level: 3.5 states/eV/f.u. The formation energy from the elements comes out at 0.2 eV/f.u.

Lattice parameters (Å, degrees): 3.0194 3.0194 29.0302 90.00 90.00 120.00
Space group R-3m (No. 166, hexagonal axes)
Unique sites:
Hf 0.0000 0.0000 0.0000 (multiplicity 3)
Nb 0.0000 0.0000 0.2462 (multiplicity 6)
Al 0.0000 0.0000 0.5000 (multiplicity 3)

=====

Entry 4:
A geometry-optimized Fe3I8Br structure, computed with PBE-GGA.

Computed properties:
The total magnetization is 13.036 μB/f.u. As for the density of states at the Fermi level: 5.5 states/eV/f.u. The formation energy (no corrections) comes out at -0.062 eV/atom.

Lattice parameters (Å, degrees): 12.077 8.085 11.379 90.00 99.05 90.00
Space group C2/m (No. 12)
Unique sites:
Fe 0.000 0.000 0.000 (multiplicity 2)
Fe 0.159 0.500 0.184 (multiplicity 4)
I 0.030 0.241 0.183 (multiplicity 8)
I 0.232 0.000 0.608 (multiplicity 4)
I 0.234 0.000 0.994 (multiplicity 4)
Br 0.000 0.000 0.500 (multiplicity 2)

=====

Entry 5:
A geometry-optimized Ca2BeSi structure, computed with PBE-GGA.

Computed properties:
The total magnetization is 0.000 μB/f.u. As for the density of states at the Fermi level: 2.7 states/eV/f.u. The formation energy (no corrections) comes out at 0.140 eV/atom. For the energy above the most stable polymorph in this dataset, the calculation gives 350 meV per atom.

Lattice parameters (Å, degrees): 3.247 3.408 8.388 90.00 90.00 90.00
Space group Pmm2 (No. 25)
Unique sites:
Ca 0.000 0.000 0.000 (multiplicity 1)
Ca 0.500 0.500 0.394 (multiplicity 1)
Be 0.500 0.500 0.754 (multiplicity 1)
Si 0.000 0.000 0.643 (multiplicity 1)

=====

Entry 6:
A geometry-optimized ZrScCdAu structure, computed with PBE-GGA.

Computed properties:
The total magnetization is 0.805 μB/f.u. As for the density of states at the Fermi level: 3.9 states/eV/f.u. The formation energy from the elements comes out at -1.4 eV/f.u.

Lattice parameters (Å, degrees): 6.947 6.947 6.947 90.00 90.00 90.00
Space group F-43m (No. 216)
Unique sites:
Zr 0.000 0.000 0.000 (multiplicity 4)
Sc 0.000 0.000 0.500 (multiplicity 4)
Cd 0.250 0.250 0.250 (multiplicity 4)
Au 0.250 0.250 0.750 (multiplicity 4)

=====

Entry 7:
A geometry-optimized Zn2BIrN structure, computed with PBE-GGA.

Computed properties:
The total magnetization is 0.000 μB/f.u. As for the density of states at the Fermi level: 3.2 states/eV/f.u. The formation energy (no corrections) comes out at 0.107 eV/atom.

Lattice parameters (Å, degrees): 4.930 4.930 2.646 90.00 90.00 90.00
Space group P4/mmm (No. 123)
Unique sites:
Zn 0.000 0.500 0.000 (multiplicity 2)
B 0.000 0.000 0.500 (multiplicity 1)
Ir 0.500 0.500 0.500 (multiplicity 1)
N 0.000 0.000 0.000 (multiplicity 1)

=====

Entry 8:
A geometry-optimized Y2InSnHg structure, computed with PBE-GGA.

Computed properties:
The total magnetization is 0.000 μB/f.u. As for the density of states at the Fermi level: 3.2 states/eV/f.u. The formation energy from the elements comes out at 0.6 eV/f.u.

Lattice parameters (Å, degrees): 5.646 5.646 5.160 90.00 90.00 90.00
Space group P4/mmm (No. 123)
Unique sites:
Y 0.000 0.500 0.000 (multiplicity 2)
In 0.000 0.000 0.500 (multiplicity 1)
Sn 0.500 0.500 0.500 (multiplicity 1)
Hg 0.000 0.000 0.000 (multiplicity 1)

=====

Number 1 is which compound? BaCaLa2Rh